# SrBe2Cu2, optimized geometry, DFT PBE
data_SrBe2Cu2
_chemical_formula_sum 'Sr1 Be2 Cu2'
_cell_length_a 4.069
_cell_length_b 4.069
_cell_length_c 5.741
_cell_angle_alpha 69.25
_cell_angle_beta 69.25
_cell_angle_gamma 90.00
_space_group_name_H-M_alt 'P 1'
_space_group_IT_number 1
loop_
_space_group_symop_operation_xyz
'x,y,z'
loop_
_atom_site_label
_atom_site_type_symbol
_atom_site_fract_x
_atom_site_fract_y
_atom_site_fract_z
_atom_site_occupancy
Be1 Be 0.750 0.250 0.500 1
Be2 Be 0.250 0.750 0.500 1
Cu1 Cu 0.644 0.644 0.713 1
Cu2 Cu 0.356 0.356 0.287 1
Sr1 Sr 0.000 0.000 0.000 1
# space group: I4/mmm
# calculated density: 4.70 g cm⁻³
# ΔE to the lowest computed polymorph: 0.0000 eV per atom
# formation enthalpy at 0 K: 0.75 eV/f.u.